## Sm8IrPt5 (PBE-GGA)

Data for crystalline Sm8IrPt5 at its relaxed geometry.

a = 8.887 Å, b = 8.887 Å, c = 8.919 Å
α = 90.00°, β = 90.00°, γ = 90.00°
Space group I-4 (No. 82)
Asymmetric unit:
Sm (0.060, 0.193, 0.188) [8 per cell]
Sm (0.062, 0.313, 0.560) [8 per cell]
Ir (0.000, 0.500, 0.250) [2 per cell]
Pt (0.000, 0.000, 0.500) [2 per cell]
Pt (0.124, 0.251, 0.874) [8 per cell]

crystal system = tetragonal
ΔE_f = -0.968 eV/atom